## V8Cd3CuO24 (PBE+U)

Data for a geometry-optimized V8Cd3CuO24 structure.

a b c (Å): 7.091 3.654 19.992
angles (deg): 90.00 98.57 90.00
Space group P2/m (No. 10)
Inequivalent atoms, fractional coordinates:
V 0.050 0.000 0.379
V 0.208 0.500 0.877
V 0.314 0.500 0.633
V 0.421 0.000 0.110
Cd 0.235 0.500 0.246
Cd 0.500 0.000 0.500
Cu 0.000 0.000 0.000
O 0.029 0.500 0.630
O 0.066 0.500 0.939
O 0.070 0.500 0.802
O 0.185 0.000 0.314
O 0.190 0.000 0.453
O 0.235 0.000 0.624
O 0.259 0.000 0.039
O 0.292 0.000 0.884
O 0.305 0.000 0.179
O 0.449 0.500 0.569
O 0.455 0.500 0.707
O 0.499 0.500 0.113

**Size of the total moment**: 1.03 μB per cell
**Raw total energy**: -245.34 eV/cell